(1)
Material: TaInBiIr2
Method: DFT, PBEsol
State: relaxed

Values from the calculation:
Calculated formation energy in eV per atom: 1.23
Symmetry: P4/mmm

```
data_TaInBiIr2
_symmetry_space_group_name_H-M 'P 1'
_symmetry_Int_Tables_number 1
_cell_length_a 4.7930
_cell_length_b 4.7930
_cell_length_c 5.3988
_cell_angle_alpha 90.00
_cell_angle_beta 90.00
_cell_angle_gamma 90.00
loop_
_symmetry_equiv_pos_as_xyz
'x,y,z'
loop_
_atom_site_label
_atom_site_type_symbol
_atom_site_fract_x
_atom_site_fract_y
_atom_site_fract_z
Ir1 Ir 0.0000 0.5000 0.0000
Ir2 Ir 0.5000 0.0000 0.0000
In1 In 0.5000 0.5000 0.5000
Bi1 Bi 0.0000 0.0000 0.5000
Ta1 Ta 0.0000 0.0000 0.0000
```

***

(2)
Material: KInBiPb2
Method: DFT, PBEsol
State: relaxed

Values from the calculation:
Calculated formation energy in eV per atom: 0.93
Symmetry: P4/mmm

```
data_KInBiPb2
_symmetry_space_group_name_H-M 'P 1'
_symmetry_Int_Tables_number 1
_cell_length_a 5.6681
_cell_length_b 5.8102
_cell_length_c 5.8102
_cell_angle_alpha 90.00
_cell_angle_beta 90.00
_cell_angle_gamma 90.00
loop_
_symmetry_equiv_pos_as_xyz
'x,y,z'
loop_
_atom_site_label
_atom_site_type_symbol
_atom_site_fract_x
_atom_site_fract_y
_atom_site_fract_z
Pb1 Pb 0.0000 0.0000 0.5000
Pb2 Pb 0.0000 0.5000 0.0000
K1 K 0.0000 0.0000 0.0000
Bi1 Bi 0.5000 0.5000 0.5000
In1 In 0.5000 0.0000 0.0000
```

***

(3)
Material: K2YInBi
Method: DFT, PBEsol
State: relaxed

Values from the calculation:
Calculated formation energy in eV per atom: 0.57
Symmetry: P4/mmm

```
data_K2YInBi
_symmetry_space_group_name_H-M 'P 1'
_symmetry_Int_Tables_number 1
_cell_length_a 5.8057
_cell_length_b 6.4400
_cell_length_c 6.4400
_cell_angle_alpha 90.00
_cell_angle_beta 90.00
_cell_angle_gamma 90.00
loop_
_symmetry_equiv_pos_as_xyz
'x,y,z'
loop_
_atom_site_label
_atom_site_type_symbol
_atom_site_fract_x
_atom_site_fract_y
_atom_site_fract_z
Y1 Y 0.5000 0.5000 0.5000
K1 K 0.0000 0.0000 0.5000
K2 K 0.0000 0.5000 0.0000
Bi1 Bi 0.0000 0.0000 0.0000
In1 In 0.5000 0.0000 0.0000
```

***

(4)
Material: LaInBiPd2
Method: DFT, PBEsol
State: relaxed

Values from the calculation:
Calculated formation energy in eV per atom: 0.32
Symmetry: P4/mmm

```
data_LaInBiPd2
_symmetry_space_group_name_H-M 'P 1'
_symmetry_Int_Tables_number 1
_cell_length_a 5.0569
_cell_length_b 5.0569
_cell_length_c 5.9487
_cell_angle_alpha 90.00
_cell_angle_beta 90.00
_cell_angle_gamma 90.00
loop_
_symmetry_equiv_pos_as_xyz
'x,y,z'
loop_
_atom_site_label
_atom_site_type_symbol
_atom_site_fract_x
_atom_site_fract_y
_atom_site_fract_z
In1 In 0.5000 0.5000 0.5000
Bi1 Bi 0.0000 0.0000 0.0000
Pd1 Pd 0.0000 0.5000 0.0000
Pd2 Pd 0.5000 0.0000 0.0000
La1 La 0.0000 0.0000 0.5000
```

***

(5)
Material: Li2In2Bi
Method: DFT, PBEsol
State: relaxed

Values from the calculation:
Calculated formation energy in eV per atom: -0.22
Symmetry: P4/mbm

```
data_Li2In2Bi
_symmetry_space_group_name_H-M 'P 1'
_symmetry_Int_Tables_number 1
_cell_length_a 3.2411
_cell_length_b 8.2886
_cell_length_c 8.2886
_cell_angle_alpha 90.00
_cell_angle_beta 90.00
_cell_angle_gamma 90.00
loop_
_symmetry_equiv_pos_as_xyz
'x,y,z'
loop_
_atom_site_label
_atom_site_type_symbol
_atom_site_fract_x
_atom_site_fract_y
_atom_site_fract_z
Li1 Li 0.5000 0.1747 0.6747
Li2 Li 0.5000 0.6747 0.8253
Li3 Li 0.5000 0.8253 0.3253
Li4 Li 0.5000 0.3253 0.1747
Bi1 Bi 0.0000 0.0000 0.0000
Bi2 Bi 0.0000 0.5000 0.5000
In1 In 0.0000 0.3749 0.8749
In2 In 0.0000 0.8749 0.6251
In3 In 0.0000 0.6251 0.1251
In4 In 0.0000 0.1251 0.3749
```

***

(6)
Material: Mg2InBi2
Method: DFT, PBEsol
State: relaxed

Values from the calculation:
Calculated formation energy in eV per atom: -0.08
Symmetry: P4/mbm

```
data_Mg2InBi2
_symmetry_space_group_name_H-M 'P 1'
_symmetry_Int_Tables_number 1
_cell_length_a 3.3343
_cell_length_b 9.0391
_cell_length_c 9.0391
_cell_angle_alpha 90.00
_cell_angle_beta 90.00
_cell_angle_gamma 90.00
loop_
_symmetry_equiv_pos_as_xyz
'x,y,z'
loop_
_atom_site_label
_atom_site_type_symbol
_atom_site_fract_x
_atom_site_fract_y
_atom_site_fract_z
Mg1 Mg 0.5000 0.1399 0.6399
Mg2 Mg 0.5000 0.6399 0.8601
Mg3 Mg 0.5000 0.8601 0.3601
Mg4 Mg 0.5000 0.3601 0.1399
Bi1 Bi 0.0000 0.3431 0.8431
Bi2 Bi 0.0000 0.8431 0.6569
Bi3 Bi 0.0000 0.6569 0.1569
Bi4 Bi 0.0000 0.1569 0.3431
In1 In 0.0000 0.0000 0.0000
In2 In 0.0000 0.5000 0.5000
```

***

(7)
Material: Mg3InBi
Method: DFT, PBEsol
State: relaxed

Values from the calculation:
Calculated formation energy in eV per atom: 0.28
Symmetry: Pm-3m
ΔE to the lowest computed polymorph in eV per atom: 0.000

```
data_Mg3InBi
_symmetry_space_group_name_H-M 'P 1'
_symmetry_Int_Tables_number 1
_cell_length_a 5.2522
_cell_length_b 5.2522
_cell_length_c 5.2522
_cell_angle_alpha 90.00
_cell_angle_beta 90.00
_cell_angle_gamma 90.00
loop_
_symmetry_equiv_pos_as_xyz
'x,y,z'
loop_
_atom_site_label
_atom_site_type_symbol
_atom_site_fract_x
_atom_site_fract_y
_atom_site_fract_z
Mg1 Mg 0.0000 0.5000 0.0000
Mg2 Mg 0.0000 0.0000 0.5000
Mg3 Mg 0.5000 0.0000 0.0000
Bi1 Bi 0.5000 0.5000 0.5000
In1 In 0.0000 0.0000 0.0000
```

***

(8)
Material: Mg3InBi
Method: DFT, PBEsol
State: relaxed

Values from the calculation:
Calculated formation energy in eV per atom: 0.40
Symmetry: Pm-3m
ΔE to the lowest computed polymorph in eV per atom: 0.125

```
data_Mg3InBi
_symmetry_space_group_name_H-M 'P 1'
_symmetry_Int_Tables_number 1
_cell_length_a 5.4821
_cell_length_b 5.4821
_cell_length_c 5.4821
_cell_angle_alpha 90.00
_cell_angle_beta 90.00
_cell_angle_gamma 90.00
loop_
_symmetry_equiv_pos_as_xyz
'x,y,z'
loop_
_atom_site_label
_atom_site_type_symbol
_atom_site_fract_x
_atom_site_fract_y
_atom_site_fract_z
Mg1 Mg 0.0000 0.5000 0.0000
Mg2 Mg 0.0000 0.0000 0.5000
Mg3 Mg 0.5000 0.0000 0.0000
Bi1 Bi 0.0000 0.0000 0.0000
In1 In 0.5000 0.5000 0.5000
```

***

(9)
Material: Mg2InBi2
Method: DFT, PBEsol
State: relaxed

Values from the calculation:
Calculated formation energy in eV per atom: -0.03
Symmetry: I4/mmm

```
data_Mg2InBi2
_symmetry_space_group_name_H-M 'P 1'
_symmetry_Int_Tables_number 1
_cell_length_a 4.6677
_cell_length_b 4.6677
_cell_length_c 7.6152
_cell_angle_alpha 107.85
_cell_angle_beta 107.85
_cell_angle_gamma 90.00
loop_
_symmetry_equiv_pos_as_xyz
'x,y,z'
loop_
_atom_site_label
_atom_site_type_symbol
_atom_site_fract_x
_atom_site_fract_y
_atom_site_fract_z
Mg1 Mg 0.2500 0.7500 0.5000
Mg2 Mg 0.7500 0.2500 0.5000
Bi1 Bi 0.3831 0.3831 0.7662
Bi2 Bi 0.6169 0.6169 0.2338
In1 In 0.0000 0.0000 0.0000
```

***

(10)
Material: Mn2InBiSb
Method: DFT, PBEsol
State: relaxed

Values from the calculation:
Symmetry: P4/mmm
Formation energy (no corrections) in eV/atom: 0.94

```
data_Mn2InBiSb
_symmetry_space_group_name_H-M 'P 1'
_symmetry_Int_Tables_number 1
_cell_length_a 4.9544
_cell_length_b 4.9544
_cell_length_c 6.0141
_cell_angle_alpha 90.00
_cell_angle_beta 90.00
_cell_angle_gamma 90.00
loop_
_symmetry_equiv_pos_as_xyz
'x,y,z'
loop_
_atom_site_label
_atom_site_type_symbol
_atom_site_fract_x
_atom_site_fract_y
_atom_site_fract_z
Sb1 Sb 0.0000 0.0000 0.0000
Mn1 Mn 0.0000 0.5000 0.0000
Mn2 Mn 0.5000 0.0000 0.0000
Bi1 Bi 0.0000 0.0000 0.5000
In1 In 0.5000 0.5000 0.5000
```

***

(11)
Material: InBiMo3
Method: DFT, PBEsol
State: relaxed

Values from the calculation:
Calculated formation energy in eV per atom: 2.34
Symmetry: Pm-3m

```
data_InBiMo3
_symmetry_space_group_name_H-M 'P 1'
_symmetry_Int_Tables_number 1
_cell_length_a 4.9608
_cell_length_b 4.9608
_cell_length_c 4.9608
_cell_angle_alpha 90.00
_cell_angle_beta 90.00
_cell_angle_gamma 90.00
loop_
_symmetry_equiv_pos_as_xyz
'x,y,z'
loop_
_atom_site_label
_atom_site_type_symbol
_atom_site_fract_x
_atom_site_fract_y
_atom_site_fract_z
Mo1 Mo 0.0000 0.5000 0.0000
Mo2 Mo 0.0000 0.0000 0.5000
Mo3 Mo 0.5000 0.0000 0.0000
Bi1 Bi 0.0000 0.0000 0.0000
In1 In 0.5000 0.5000 0.5000
```

***

(12)
Material: InBiSb2N
Method: DFT, PBEsol
State: relaxed

Values from the calculation:
Symmetry: P4/mmm
Formation energy (no corrections) in eV/atom: 1.78

```
data_InBiSb2N
_symmetry_space_group_name_H-M 'P 1'
_symmetry_Int_Tables_number 1
_cell_length_a 5.8436
_cell_length_b 5.8436
_cell_length_c 6.0692
_cell_angle_alpha 90.00
_cell_angle_beta 90.00
_cell_angle_gamma 90.00
loop_
_symmetry_equiv_pos_as_xyz
'x,y,z'
loop_
_atom_site_label
_atom_site_type_symbol
_atom_site_fract_x
_atom_site_fract_y
_atom_site_fract_z
Sb1 Sb 0.0000 0.5000 0.0000
Sb2 Sb 0.5000 0.0000 0.0000
N1 N 0.5000 0.5000 0.5000
Bi1 Bi 0.0000 0.0000 0.0000
In1 In 0.0000 0.0000 0.5000
```

***

(13)
Material: Na2InBi
Method: DFT, PBEsol
State: relaxed

Values from the calculation:
Calculated formation energy in eV per atom: -0.04
Symmetry: I-42d

```
data_Na2InBi
_symmetry_space_group_name_H-M 'P 1'
_symmetry_Int_Tables_number 1
_cell_length_a 4.5917
_cell_length_b 4.5917
_cell_length_c 11.5247
_cell_angle_alpha 101.49
_cell_angle_beta 101.49
_cell_angle_gamma 90.00
loop_
_symmetry_equiv_pos_as_xyz
'x,y,z'
loop_
_atom_site_label
_atom_site_type_symbol
_atom_site_fract_x
_atom_site_fract_y
_atom_site_fract_z
Na1 Na 0.3742 0.8750 0.2500
Na2 Na 0.8758 0.3750 0.2500
Na3 Na 0.1250 0.1242 0.7500
Na4 Na 0.6250 0.6258 0.7500
Bi1 Bi 0.2500 0.7500 0.5000
Bi2 Bi 0.0000 0.0000 0.0000
In1 In 0.7500 0.2500 0.5000
In2 In 0.5000 0.5000 0.0000
```

***

(14)
Material: Na3In2Bi3
Method: DFT, PBEsol
State: relaxed

Values from the calculation:
Calculated formation energy in eV per atom: -0.18
Symmetry: Pm

```
data_Na3In2Bi3
_symmetry_space_group_name_H-M 'P 1'
_symmetry_Int_Tables_number 1
_cell_length_a 4.5310
_cell_length_b 8.0952
_cell_length_c 26.9721
_cell_angle_alpha 90.55
_cell_angle_beta 90.00
_cell_angle_gamma 90.00
loop_
_symmetry_equiv_pos_as_xyz
'x,y,z'
loop_
_atom_site_label
_atom_site_type_symbol
_atom_site_fract_x
_atom_site_fract_y
_atom_site_fract_z
Na1 Na 0.5000 0.5236 0.8796
Na2 Na 0.5000 0.5145 0.5653
Na3 Na 0.5000 0.5263 0.2241
Na4 Na 0.5000 0.0361 0.9265
Na5 Na 0.5000 0.0167 0.6156
Na6 Na 0.5000 0.0409 0.2706
Na7 Na 0.0000 0.4955 0.7630
Na8 Na 0.0000 0.4746 0.4501
Na9 Na 0.0000 0.4681 0.1064
Na10 Na 0.0000 0.9975 0.7289
Na11 Na 0.0000 0.0002 0.4101
Na12 Na 0.0000 0.9813 0.0636
In1 In 0.5000 0.6353 0.3698
In2 In 0.5000 0.6426 0.0232
In3 In 0.0000 0.8657 0.8485
In4 In 0.0000 0.8429 0.5393
In5 In 0.0000 0.8648 0.1947
In6 In 0.0000 0.3466 0.9613
In7 In 0.0000 0.3410 0.6411
In8 In 0.0000 0.3517 0.3053
Bi1 Bi 0.5000 0.2730 0.7075
Bi2 Bi 0.5000 0.2643 0.3724
Bi3 Bi 0.5000 0.2638 0.0288
Bi4 Bi 0.5000 0.7722 0.7859
Bi5 Bi 0.5000 0.7916 0.4701
Bi6 Bi 0.5000 0.7702 0.1290
Bi7 Bi 0.0000 0.7344 0.9564
Bi8 Bi 0.0000 0.7124 0.6396
Bi9 Bi 0.0000 0.7415 0.3062
Bi10 Bi 0.0000 0.2327 0.8572
Bi11 Bi 0.0000 0.2092 0.5382
Bi12 Bi 0.0000 0.2344 0.2019
```

***

Number 1: V 24.81 A^3/atom. Number 2: V 38.27 A^3/atom. Number 3: V 48.16 A^3/atom. Number 4: V 30.42 A^3/atom. Number 5: V 22.27 A^3/atom. Number 6: V 27.24 A^3/atom. Number 7: V 28.98 A^3/atom. Number 8: V 32.95 A^3/atom. Number 9: V 29.90 A^3/atom. Number 10: V 29.52 A^3/atom. Number 11: V 24.42 A^3/atom. Number 12: V 41.45 A^3/atom. Number 13: V 29.14 A^3/atom. Number 14: V 30.91 A^3/atom.